Arrangement a

# SrTe2SeI PBE relaxed
data_SrTe2SeI
_chemical_formula_sum 'Sr1 Te2 Se1 I1'
_symmetry_space_group_name_H-M 'P 4/m m m'
_symmetry_Int_Tables_number 123
_symmetry_space_group_name_Hall '-P 4 2'
_cell_length_a 6.488
_cell_length_b 6.488
_cell_length_c 6.322
_cell_angle_alpha 90.00
_cell_angle_beta 90.00
_cell_angle_gamma 90.00
loop_
_atom_site_label
_atom_site_fract_x
_atom_site_fract_y
_atom_site_fract_z
Sr1 0.000 0.000 0.000
Te1 0.000 0.500 0.000
Se1 0.500 0.500 0.500
I1 0.000 0.000 0.500
# density of states at the Fermi level = 4.00 states/eV/cell
# total magnetic moment = 5.0 μB/cell

Arrangement b

# SrTe2SeI PBE relaxed
data_SrTe2SeI
_chemical_formula_sum 'Sr1 Te2 Se1 I1'
_symmetry_space_group_name_H-M 'P 4/m m m'
_symmetry_Int_Tables_number 123
_symmetry_space_group_name_Hall '-P 4 2'
_cell_length_a 5.554
_cell_length_b 5.554
_cell_length_c 5.794
_cell_angle_alpha 90.00
_cell_angle_beta 90.00
_cell_angle_gamma 90.00
loop_
_atom_site_label
_atom_site_fract_x
_atom_site_fract_y
_atom_site_fract_z
Sr1 0.000 0.000 0.000
Te1 0.000 0.500 0.500
Se1 0.500 0.500 0.500
I1 0.500 0.500 0.000
# density of states at the Fermi level = 2.46 states/eV/cell
# total magnetic moment = 0.0 μB/cell

Last place for stability: arrangement a

Arrangement a

# TaSe3I PBE relaxed
data_TaSe3I
_chemical_formula_sum 'Ta1 Se3 I1'
_symmetry_space_group_name_H-M 'P m -3 m'
_symmetry_Int_Tables_number 221
_symmetry_space_group_name_Hall '-P 4 2 3'
_cell_length_a 5.295
_cell_length_b 5.295
_cell_length_c 5.295
_cell_angle_alpha 90.00
_cell_angle_beta 90.00
_cell_angle_gamma 90.00
loop_
_atom_site_label
_atom_site_fract_x
_atom_site_fract_y
_atom_site_fract_z
Ta1 0.000 0.000 0.000
Se1 0.000 0.500 0.500
I1 0.500 0.500 0.500
# density of states at the Fermi level = 4.07 states/eV/cell
# total magnetic moment = 2.5 μB/cell

Arrangement b

# TaSe3I PBE relaxed
data_TaSe3I
_chemical_formula_sum 'Ta1 Se3 I1'
_symmetry_space_group_name_H-M 'P m -3 m'
_symmetry_Int_Tables_number 221
_symmetry_space_group_name_Hall '-P 4 2 3'
_cell_length_a 5.077
_cell_length_b 5.077
_cell_length_c 5.077
_cell_angle_alpha 90.00
_cell_angle_beta 90.00
_cell_angle_gamma 90.00
loop_
_atom_site_label
_atom_site_fract_x
_atom_site_fract_y
_atom_site_fract_z
Ta1 0.000 0.000 0.000
Se1 0.000 0.000 0.500
I1 0.500 0.500 0.500
# density of states at the Fermi level = 5.41 states/eV/cell
# total magnetic moment = 0.0 μB/cell

Last place for stability: arrangement a

Arrangement a

# Ta2SeI PBE relaxed
data_Ta2SeI
_chemical_formula_sum 'Ta8 Se4 I4'
_symmetry_space_group_name_H-M 'I -4 2 d'
_symmetry_Int_Tables_number 122
_symmetry_space_group_name_Hall 'I -4 2bw'
_cell_length_a 4.695
_cell_length_b 4.695
_cell_length_c 16.976
_cell_angle_alpha 90.00
_cell_angle_beta 90.00
_cell_angle_gamma 90.00
loop_
_atom_site_label
_atom_site_fract_x
_atom_site_fract_y
_atom_site_fract_z
Ta1 0.190 0.250 0.125
Se1 0.000 0.000 0.000
I1 0.000 0.000 0.500
# density of states at the Fermi level = 18.91 states/eV/cell
# total magnetic moment = 0.0 μB/cell

Arrangement b

# Ta2SeI PBE relaxed
data_Ta2SeI
_chemical_formula_sum 'Ta8 Se4 I4'
_symmetry_space_group_name_H-M 'F m -3 m'
_symmetry_Int_Tables_number 225
_symmetry_space_group_name_Hall '-F 4 2 3'
_cell_length_a 6.672
_cell_length_b 6.672
_cell_length_c 6.672
_cell_angle_alpha 90.00
_cell_angle_beta 90.00
_cell_angle_gamma 90.00
loop_
_atom_site_label
_atom_site_fract_x
_atom_site_fract_y
_atom_site_fract_z
Ta1 0.250 0.250 0.250
Se1 0.000 0.000 0.000
I1 0.000 0.000 0.500
# density of states at the Fermi level = 16.53 states/eV/cell
# total magnetic moment = 0.0 μB/cell

Last place for stability: arrangement a

Arrangement a

# TaTe2SeI PBE relaxed
data_TaTe2SeI
_chemical_formula_sum 'Ta1 Te2 Se1 I1'
_symmetry_space_group_name_H-M 'P 4/m m m'
_symmetry_Int_Tables_number 123
_symmetry_space_group_name_Hall '-P 4 2'
_cell_length_a 5.393
_cell_length_b 5.393
_cell_length_c 5.424
_cell_angle_alpha 90.00
_cell_angle_beta 90.00
_cell_angle_gamma 90.00
loop_
_atom_site_label
_atom_site_fract_x
_atom_site_fract_y
_atom_site_fract_z
Ta1 0.000 0.000 0.000
Te1 0.000 0.500 0.000
Se1 0.500 0.500 0.500
I1 0.000 0.000 0.500
# density of states at the Fermi level = 6.09 states/eV/cell
# total magnetic moment = 0.0 μB/cell

Arrangement b

# TaTe2SeI PBE relaxed
data_TaTe2SeI
_chemical_formula_sum 'Ta1 Te2 Se1 I1'
_symmetry_space_group_name_H-M 'P 4/m m m'
_symmetry_Int_Tables_number 123
_symmetry_space_group_name_Hall '-P 4 2'
_cell_length_a 5.360
_cell_length_b 5.360
_cell_length_c 5.579
_cell_angle_alpha 90.00
_cell_angle_beta 90.00
_cell_angle_gamma 90.00
loop_
_atom_site_label
_atom_site_fract_x
_atom_site_fract_y
_atom_site_fract_z
Ta1 0.000 0.000 0.000
Te1 0.000 0.500 0.500
Se1 0.500 0.500 0.500
I1 0.500 0.500 0.000
# density of states at the Fermi level = 4.84 states/eV/cell
# total magnetic moment = 2.4 μB/cell

Last place for stability: arrangement b

Arrangement a

# Tb2SeI PBE relaxed
data_Tb2SeI
_chemical_formula_sum 'Tb4 Se2 I2'
_symmetry_space_group_name_H-M 'P 1'
_symmetry_Int_Tables_number 1
_symmetry_space_group_name_Hall 'P 1'
_cell_length_a 4.019
_cell_length_b 7.195
_cell_length_c 9.145
_cell_angle_alpha 90.04
_cell_angle_beta 90.50
_cell_angle_gamma 90.01
loop_
_atom_site_label
_atom_site_fract_x
_atom_site_fract_y
_atom_site_fract_z
Tb1 0.000 0.000 0.000
Tb2 0.002 0.191 0.420
Tb3 0.503 0.692 0.255
Tb4 0.505 0.500 0.675
Se1 0.007 0.246 0.743
Se2 0.498 0.746 0.932
I1 0.001 0.392 0.135
I2 0.504 0.892 0.541
# density of states at the Fermi level = 7.82 states/eV/cell
# total magnetic moment = 0.6 μB/cell

Arrangement b

# Tb2SeI PBE relaxed
data_Tb2SeI
_chemical_formula_sum 'Tb6 Se3 I3'
_symmetry_space_group_name_H-M 'R -3 m'
_symmetry_Int_Tables_number 166
_symmetry_space_group_name_Hall '-R 3 2"'
_cell_length_a 4.0056
_cell_length_b 4.0056
_cell_length_c 24.0149
_cell_angle_alpha 90.00
_cell_angle_beta 90.00
_cell_angle_gamma 120.00
loop_
_atom_site_label
_atom_site_fract_x
_atom_site_fract_y
_atom_site_fract_z
Tb1 0.0000 0.0000 0.2325
Se1 0.0000 0.0000 0.5000
I1 0.0000 0.0000 0.0000
# density of states at the Fermi level = 5.32 states/eV/cell
# total magnetic moment = 0.0 μB/cell

Arrangement c

# Tb2SeI PBE relaxed
data_Tb2SeI
_chemical_formula_sum 'Tb6 Se3 I3'
_symmetry_space_group_name_H-M 'R 3 m'
_symmetry_Int_Tables_number 160
_symmetry_space_group_name_Hall 'R 3 -2"'
_cell_length_a 3.9475
_cell_length_b 3.9475
_cell_length_c 24.1749
_cell_angle_alpha 90.00
_cell_angle_beta 90.00
_cell_angle_gamma 120.00
loop_
_atom_site_label
_atom_site_fract_x
_atom_site_fract_y
_atom_site_fract_z
Tb1 0.0000 0.0000 0.0000
Tb2 0.0000 0.0000 0.1925
Se1 0.0000 0.0000 0.5957
I1 0.0000 0.0000 0.4286
# density of states at the Fermi level = 10.86 states/eV/cell
# total magnetic moment = 0.0 μB/cell

Last place for stability: arrangement a

Arrangement a

# TcSeI3 PBE relaxed
data_TcSeI3
_chemical_formula_sum 'Tc1 Se1 I3'
_symmetry_space_group_name_H-M 'P m -3 m'
_symmetry_Int_Tables_number 221
_symmetry_space_group_name_Hall '-P 4 2 3'
_cell_length_a 5.360
_cell_length_b 5.360
_cell_length_c 5.360
_cell_angle_alpha 90.00
_cell_angle_beta 90.00
_cell_angle_gamma 90.00
loop_
_atom_site_label
_atom_site_fract_x
_atom_site_fract_y
_atom_site_fract_z
Tc1 0.000 0.000 0.000
Se1 0.500 0.500 0.500
I1 0.000 0.000 0.500
# density of states at the Fermi level = 7.01 states/eV/cell
# total magnetic moment = 0.0 μB/cell

Arrangement b

# TcSeI3 PBE relaxed
data_TcSeI3
_chemical_formula_sum 'Tc1 Se1 I3'
_symmetry_space_group_name_H-M 'P m -3 m'
_symmetry_Int_Tables_number 221
_symmetry_space_group_name_Hall '-P 4 2 3'
_cell_length_a 5.755
_cell_length_b 5.755
_cell_length_c 5.755
_cell_angle_alpha 90.00
_cell_angle_beta 90.00
_cell_angle_gamma 90.00
loop_
_atom_site_label
_atom_site_fract_x
_atom_site_fract_y
_atom_site_fract_z
Tc1 0.000 0.000 0.000
Se1 0.500 0.500 0.500
I1 0.000 0.500 0.500
# density of states at the Fermi level = 7.94 states/eV/cell
# total magnetic moment = 5.3 μB/cell

Last place for stability: arrangement b